DFT (PBE) results for a relaxed InCuGeSe3 crystal.

The structure in extended XYZ format:
```
12
Lattice="5.216 0.162 3.718 -6.391 0.454 -0.069 -0.814 -11.216 1.629" Properties=species:S:1:pos:R:3 pbc="T T T"
Se -5.060 -4.438 1.184
Se 2.774 -10.253 4.687
Se -1.891 -2.469 1.873
Se -0.098 -8.132 3.405
Se 3.071 -6.162 4.093
Se -4.763 -0.347 0.590
In -0.587 0.308 1.824
In -0.994 -5.300 2.639
Ge -4.054 -8.032 2.114
Ge 2.065 -2.568 3.163
Cu 4.015 -8.235 4.747
Cu -6.004 -2.365 0.531
```

Calculated values
E above lowest polymorph (meV/atom): 0
Theoretical density (g cm⁻³): 6.02
Raw total energy (eV/atom): -3.79
Space group: Cmcm, No. 63

***

DFT (PBE) results for a relaxed Cu crystal.

The structure in extended XYZ format:
```
29
Lattice="4.417 4.417 -4.417 4.417 -4.417 4.417 -4.417 -4.417 -4.417" Properties=species:S:1:pos:R:3 pbc="T T T"
Cu -0.826 -0.826 -6.324
Cu 2.511 -0.826 -0.826
Cu 0.000 0.000 0.000
Cu 0.826 -2.511 -0.826
Cu 3.991 -1.221 1.221
Cu 6.324 -0.826 0.826
Cu 3.592 -3.592 1.906
Cu 3.592 1.906 -3.592
Cu -1.906 -3.592 -3.592
Cu 1.221 -1.221 -4.844
Cu 1.221 -3.991 1.221
Cu 4.844 -1.221 -1.221
Cu 1.545 -1.545 1.545
Cu 1.221 -4.844 -1.221
Cu 1.545 1.545 -1.545
Cu 0.426 -3.196 -3.196
Cu 3.991 1.221 -1.221
Cu 3.196 -3.196 -0.426
Cu 2.872 -2.872 -2.872
Cu 1.221 1.221 -3.991
Cu 3.196 -0.426 -3.196
Cu -0.826 -6.324 -0.826
Cu -1.545 -1.545 -1.545
Cu -1.221 -3.991 -1.221
Cu -1.221 -1.221 -3.991
Cu 6.324 0.826 -0.826
Cu 0.826 -0.826 -2.511
Cu 0.826 0.826 -6.324
Cu 0.826 -6.324 0.826
```

Calculated values
Energy of formation from the pure elements (eV per atom): 0.0744
E above lowest polymorph (meV/atom): 74
Theoretical density (g cm⁻³): 8.88
Raw total energy (eV/atom): -3.64
Space group: I-43m, No. 217

***

DFT (PBE) results for a relaxed CsLuSn crystal.

The structure in extended XYZ format:
```
3
Lattice="0.000 3.917 3.917 3.917 0.000 3.917 3.917 3.917 0.000" Properties=species:S:1:pos:R:3 pbc="T T T"
Sn 5.876 5.876 5.876
Lu 1.959 1.959 1.959
Cs 0.000 0.000 0.000
```

Calculated values
E above lowest polymorph (meV/atom): 610
Theoretical density (g cm⁻³): 5.89
Raw total energy (eV/atom): -2.25
Space group: F-43m, No. 216

***

DFT (PBE) results for a relaxed YEr2Ga3Cu2Ni crystal.

The structure in extended XYZ format:
```
9
Lattice="3.963 0.000 0.000 0.000 6.012 3.461 0.000 -6.012 3.461" Properties=species:S:1:pos:R:3 pbc="T T T"
Ni 0.000 0.000 0.021
Er 0.000 -3.555 4.874
Er 0.000 3.555 4.874
Ga 1.981 0.000 1.646
Ga 1.981 -4.577 2.639
Ga 1.981 4.577 2.639
Cu 1.981 -2.029 3.456
Cu 1.981 2.029 3.456
Y 0.000 0.000 4.085
```

Calculated values
Theoretical density (g cm⁻³): 8.24
Raw total energy (eV/atom): -4.73
Space group: Amm2, No. 38